## CaAlTl (PBE)

Data for a relaxed structure of CaAlTl.

Computed properties:
- volume (Å³ per cell) = 153.4
- energy of formation from the pure elements (eV per atom) = -0.26
- Fermi-level density of states (states/eV per atom) = 0.26

```
CaAlTl
1.0
-2.4088 3.8226 4.1655
2.4088 -3.8226 4.1655
2.4088 3.8226 -4.1655
Ca Al Tl
2 2 2
Cartesian
0.0000 0.0000 0.0000
0.0000 3.8226 0.6519
2.4088 2.4427 -1.0705
0.0000 1.3799 3.0950
2.4088 1.6738 1.6534
0.0000 2.1488 5.8189
```